# 1
# Pr5Sm4Th

Crystalline Pr5Sm4Th at its relaxed geometry (PBE-GGA, Alexandria).

Geometry as CIF:
```
data_Pr5Sm4Th
_cell_length_a 18.619
_cell_length_b 3.625
_cell_length_c 10.742
_cell_angle_alpha 90.00
_cell_angle_beta 96.18
_cell_angle_gamma 90.00
_space_group_name_H-M_alt 'C 1 2/m 1'
_space_group_IT_number 12
_space_group_name_Hall '-C 2y'
loop_
_atom_site_label
_atom_site_fract_x
_atom_site_fract_y
_atom_site_fract_z
Pr1 0.000 0.000 0.000
Pr2 0.137 0.500 0.728
Pr3 0.192 0.500 0.099
Sm1 0.049 0.500 0.260
Sm2 0.180 0.000 0.423
Th1 0.000 0.000 0.500
```

Results
* Fermi-level density of states: 29.796 states/eV per cell
* energy relative to the lowest polymorph listed for this composition: 0.066 eV per atom
* energy of formation: 1.51 eV/f.u.

# 2
# Pr4Sm10Th

Crystalline Pr4Sm10Th at its relaxed geometry (PBE-GGA, Alexandria).

Geometry as CIF:
```
data_Pr4Sm10Th
_cell_length_a 9.900
_cell_length_b 9.900
_cell_length_c 10.662
_cell_angle_alpha 90.00
_cell_angle_beta 90.00
_cell_angle_gamma 90.00
_space_group_name_H-M_alt 'I 4/m'
_space_group_IT_number 87
_space_group_name_Hall '-I 4'
loop_
_atom_site_label
_atom_site_fract_x
_atom_site_fract_y
_atom_site_fract_z
Pr1 0.056 0.328 0.000
Sm1 0.000 0.500 0.250
Sm2 0.118 0.205 0.339
Th1 0.000 0.000 0.000
```

Results
* Fermi-level density of states: 42.934 states/eV per cell
* energy of formation: 5.21 eV/f.u.

# 3
# Pr2SmTh

Crystalline Pr2SmTh at its relaxed geometry (PBE-GGA, Alexandria).

Geometry as CIF:
```
data_Pr2SmTh
_cell_length_a 6.104
_cell_length_b 6.104
_cell_length_c 7.391
_cell_angle_alpha 90.00
_cell_angle_beta 90.00
_cell_angle_gamma 90.00
_space_group_name_H-M_alt 'I -4 m 2'
_space_group_IT_number 119
_space_group_name_Hall 'I -4 -2'
loop_
_atom_site_label
_atom_site_fract_x
_atom_site_fract_y
_atom_site_fract_z
Pr1 0.000 0.000 0.000
Pr2 0.000 0.500 0.250
Sm1 0.000 0.500 0.750
Th1 0.000 0.000 0.500
```

Results
* Fermi-level density of states: 13.692 states/eV per cell
* energy relative to the lowest polymorph listed for this composition: 0.109 eV per atom
* energy of formation: 0.57 eV/f.u.

# 4
# PrSm3Th

Crystalline PrSm3Th at its relaxed geometry (PBE-GGA, Alexandria).

Geometry as CIF:
```
data_PrSm3Th
_cell_length_a 8.918
_cell_length_b 7.249
_cell_length_c 12.067
_cell_angle_alpha 90.00
_cell_angle_beta 119.30
_cell_angle_gamma 90.00
_space_group_name_H-M_alt 'P 1 21/c 1'
_space_group_IT_number 14
_space_group_name_Hall '-P 2ybc'
loop_
_atom_site_label
_atom_site_fract_x
_atom_site_fract_y
_atom_site_fract_z
Pr1 0.206 0.125 0.053
Sm1 0.001 0.127 0.253
Sm2 0.210 0.624 0.053
Sm3 0.403 0.126 0.851
Th1 0.398 0.621 0.853
```

Results
* Fermi-level density of states: 29.782 states/eV per cell
* energy of formation: 0.22 eV/f.u.

# 5
# Pr5Sm4Th2

Crystalline Pr5Sm4Th2 at its relaxed geometry (PBE-GGA, Alexandria).

Geometry as CIF:
```
data_Pr5Sm4Th2
_cell_length_a 9.079
_cell_length_b 3.536
_cell_length_c 12.035
_cell_angle_alpha 90.00
_cell_angle_beta 94.19
_cell_angle_gamma 90.00
_space_group_name_H-M_alt 'P 1 2/m 1'
_space_group_IT_number 10
_space_group_name_Hall '-P 2y'
loop_
_atom_site_label
_atom_site_fract_x
_atom_site_fract_y
_atom_site_fract_z
Pr1 0.000 0.000 0.000
Pr2 0.081 0.000 0.288
Pr3 0.306 0.000 0.832
Sm1 0.198 0.500 0.548
Sm2 0.343 0.500 0.106
Th1 0.455 0.000 0.370
```

Results
* Fermi-level density of states: 18.828 states/eV per cell
* energy of formation: 1.38 eV/f.u.

# 6
# Pr2SmTh3

Crystalline Pr2SmTh3 at its relaxed geometry (PBE-GGA, Alexandria).

Geometry as CIF:
```
data_Pr2SmTh3
_cell_length_a 10.365
_cell_length_b 11.521
_cell_length_c 6.833
_cell_angle_alpha 90.00
_cell_angle_beta 90.00
_cell_angle_gamma 90.00
_space_group_name_H-M_alt 'C m c m'
_space_group_IT_number 63
_space_group_name_Hall '-C 2c 2'
loop_
_atom_site_label
_atom_site_fract_x
_atom_site_fract_y
_atom_site_fract_z
Pr1 0.167 0.230 0.250
Sm1 0.000 0.271 0.750
Th1 0.000 0.000 0.000
Th2 0.166 0.500 0.000
```

Results
* Fermi-level density of states: 32.778 states/eV per cell
* energy of formation: 1.22 eV/f.u.